No. 1
## SmBeRe (PBE)

Data for an optimized crystal structure of SmBeRe.

Structure (CIF):
```
data_SmBeRe
_cell_length_a 6.525
_cell_length_b 6.525
_cell_length_c 6.525
_cell_angle_alpha 90.00
_cell_angle_beta 90.00
_cell_angle_gamma 90.00
_symmetry_space_group_name_H-M 'F -4 3 m'
_symmetry_Int_Tables_number 216
_symmetry_space_group_name_Hall 'F -4 2 3'
loop_
_atom_site_label
_atom_site_fract_x
_atom_site_fract_y
_atom_site_fract_z
Sm1 0.000 0.000 0.000
Be1 0.250 0.250 0.750
Re1 0.250 0.250 0.250
```

=====

No. 2
## SmBeRe3 (PBE)

Data for an optimized crystal structure of SmBeRe3.

Structure (CIF):
```
data_SmBeRe3
_cell_length_a 4.354
_cell_length_b 4.354
_cell_length_c 4.354
_cell_angle_alpha 90.00
_cell_angle_beta 90.00
_cell_angle_gamma 90.00
_symmetry_space_group_name_H-M 'P m -3 m'
_symmetry_Int_Tables_number 221
_symmetry_space_group_name_Hall '-P 4 2 3'
loop_
_atom_site_label
_atom_site_fract_x
_atom_site_fract_y
_atom_site_fract_z
Sm1 0.000 0.000 0.000
Be1 0.500 0.500 0.500
Re1 0.000 0.500 0.500
```

=====

No. 3
## SmBeRe (PBE)

Data for an optimized crystal structure of SmBeRe.

Structure (CIF):
```
data_SmBeRe
_cell_length_a 6.070
_cell_length_b 6.070
_cell_length_c 6.070
_cell_angle_alpha 90.00
_cell_angle_beta 90.00
_cell_angle_gamma 90.00
_symmetry_space_group_name_H-M 'F -4 3 m'
_symmetry_Int_Tables_number 216
_symmetry_space_group_name_Hall 'F -4 2 3'
loop_
_atom_site_label
_atom_site_fract_x
_atom_site_fract_y
_atom_site_fract_z
Sm1 0.000 0.000 0.000
Be1 0.250 0.250 0.750
Re1 0.000 0.000 0.500
```

=====

No. 4
## BeReSn (PBE)

Data for an optimized crystal structure of BeReSn.

Structure (CIF):
```
data_BeReSn
_cell_length_a 5.737
_cell_length_b 5.737
_cell_length_c 5.737
_cell_angle_alpha 90.00
_cell_angle_beta 90.00
_cell_angle_gamma 90.00
_symmetry_space_group_name_H-M 'F -4 3 m'
_symmetry_Int_Tables_number 216
_symmetry_space_group_name_Hall 'F -4 2 3'
loop_
_atom_site_label
_atom_site_fract_x
_atom_site_fract_y
_atom_site_fract_z
Be1 0.000 0.000 0.000
Re1 0.250 0.250 0.750
Sn1 0.250 0.250 0.250
```

=====

| no. | total DFT energy (no corrections) (eV/atom) |
| --- | --- |
| 1 | -5.2108 |
| 2 | -8.4198 |
| 3 | -6.2921 |
| 4 | -6.0876 |